Entry from Alexandria via LeMat-Bulk: a relaxed structure of Be2TcSe (PBE-GGA).

Results
total energy	-21.023	eV per cell
uncorrected formation energy	6.76	kJ/mol of atoms

Cell: 3.359 3.078 4.932 Å, 89.93 90.00 90.00°
Fractional positions:
Tc 0.500 0.750 0.750
Be 0.000 0.250 0.549
Be 0.000 0.250 0.951
Se 0.500 0.250 0.250

=====

Entry from Alexandria via LeMat-Bulk: a relaxed structure of BeTc3Se (PBE-GGA).

Results
distance to the lowest polymorph of the same formula	0.000	eV/atom
total energy	-33.891	eV per cell
uncorrected formation energy	85.25	kJ/mol of atoms

Cell: 4.209 4.209 4.209 Å, 90.00 90.00 90.00°
Fractional positions:
Tc 0.000 0.500 0.000
Tc 0.500 0.000 0.000
Tc 0.000 0.000 0.500
Se 0.500 0.500 0.500
Be 0.000 0.000 0.000

=====

Values for density, g/cm³, ordered as above
6.35, 8.50
Values for magnetization, Bohr magnetons per cell, ordered as above
0.0, 2.4